# Cs5K2Au2

A relaxed Cs5K2Au2 crystal (PBE, Alexandria).

Values from the calculation:
formation energy: -0.9 eV/f.u.
volume: 759.19 Å³/f.u.
final energy: -1.54 eV per atom

Unit cell a=8.9487 b=8.9487 c=11.3982 alpha=104.07 beta=104.07 gamma=112.39
Element x y z (fractional)
1 Au 0.2393 0.7607 0.0000
2 K 0.7521 0.7521 0.5041
3 Cs 0.0000 0.0000 0.0000
4 Cs 0.3755 0.8755 0.7509
5 Cs 0.1245 0.6245 0.2491
6 Cs 0.6245 0.1245 0.2491
7 Cs 0.8755 0.3755 0.7509
8 K 0.2479 0.2479 0.4959
9 Au 0.7607 0.2393 0.0000

# Al2CoB10

A relaxed Al2CoB10 crystal (PBE, Alexandria).

Values from the calculation:
formation energy: 1.9 eV/f.u.
volume: 130.40 Å³/f.u.
final energy: -6.11 eV per atom

Unit cell a=4.1245 b=5.5837 c=11.3243 alpha=90.00 beta=90.00 gamma=90.00
Element x y z (fractional)
1 B 0.0000 0.1227 0.5440
2 B 0.0000 0.1748 0.6990
3 B 0.0000 0.3773 0.0440
4 B 0.2968 0.3033 0.6149
5 B 0.2968 0.1967 0.1149
6 B 0.0000 0.8252 0.3010
7 Al 0.5000 0.6850 0.5794
8 B 0.7032 0.6967 0.3851
9 B 0.7032 0.1967 0.1149
10 B 0.7032 0.3033 0.6149
11 Co 0.0000 0.5000 0.5000
12 B 0.2968 0.8033 0.8851
13 B 0.0000 0.0142 0.1870
14 B 0.0000 0.5142 0.3130
15 Co 0.0000 0.0000 0.0000
16 B 0.7032 0.8033 0.8851
17 B 0.0000 0.9858 0.8130
18 B 0.0000 0.6748 0.8010
19 B 0.0000 0.6227 0.9560
20 B 0.0000 0.8773 0.4560
21 Al 0.5000 0.8150 0.0794
22 B 0.2968 0.6967 0.3851
23 Al 0.5000 0.3150 0.4206
24 B 0.0000 0.4858 0.6870
25 Al 0.5000 0.1850 0.9206
26 B 0.0000 0.3252 0.1990

# La5PmHo4

A relaxed La5PmHo4 crystal (PBE, Alexandria).

Values from the calculation:
formation energy: 0.2 eV/f.u.
volume: 343.97 Å³/f.u.
final energy: -4.75 eV per atom

Unit cell a=3.7006 b=3.7006 c=25.1169 alpha=90.00 beta=90.00 gamma=90.00
Element x y z (fractional)
1 La 0.5000 0.5000 0.6982
2 Ho 0.0000 0.0000 0.4009
3 Ho 0.0000 0.0000 0.7973
4 La 0.5000 0.5000 0.3018
5 La 0.5000 0.5000 0.5000
6 Ho 0.0000 0.0000 0.2027
7 La 0.5000 0.5000 0.8972
8 La 0.5000 0.5000 0.1028
9 Ho 0.0000 0.0000 0.5991
10 Pm 0.0000 0.0000 0.0000